This record from Alexandria via LeMat-Bulk describes a relaxed Y2SiSnPd6 crystal. The functional is GGA-PBE.

The calculation puts the uncorrected formation energy at -68.31 kJ per mole of atoms. The calculation puts the calculated total energy at -6.06 eV per atom. The density of states at the Fermi level comes out at 8.663 states/eV/cell. The magnetization is 0.0000 μB/atom.

The structure belongs to space group C2/m (No. 12); the cell edges are 11.4820, 5.4989 and 7.9213 Å and the angles 90.00°, 130.36° and 90.00°. Symmetry generates all atoms from Y at (0.0020, 0.0000, 0.2511), Si at (0.0000, 0.5000, 0.5000), Sn at (0.0000, 0.5000, 0.0000), Pd at (0.1728, 0.5000, 0.4303) and Pd at (0.2337, 0.2536, 0.7925).